This record from the Alexandria database describes a geometry-optimized TlSn2SbCl8 structure. The functional is GGA-PBE.

Lattice parameters (Å, degrees): 6.5436 6.9413 8.9494 87.01 89.21 87.96
Fractional positions:
Tl (0.0000, 0.0000, 0.0000)
Sn (0.4888, 0.4812, 0.2514)
Sn (0.5112, 0.5188, 0.7486)
Sb (0.0000, 0.0000, 0.5000)
Cl (0.2139, 0.8126, 0.2933)
Cl (0.2411, 0.3075, 0.4615)
Cl (0.2552, 0.8589, 0.7150)
Cl (0.2845, 0.3608, 0.0342)
Cl (0.7155, 0.6392, 0.9658)
Cl (0.7448, 0.1411, 0.2850)
Cl (0.7589, 0.6925, 0.5385)
Cl (0.7861, 0.1874, 0.7067)

**SG**: P-1, No. 2
**Magnetization**: 0.000 μB per atom
**Formation energy from raw total energies**: -0.95 eV/atom
**Electronic total energy**: -3.384 eV/atom
**V**: 33.8 Å³ per atom